Record 1
# YErScIn

Crystalline YErScIn at its relaxed geometry (GGA-PBE, Alexandria).

Summary:
Magnetic moment = 0.9 μB/f.u.
Calculated formation energy = -0.262 eV/atom
Distance to the lowest polymorph of the same formula = 0 kJ/mol of formula units

abc: 4.7033 4.7513 4.7437
angles: 90.00 90.00 90.00
Last column: magnetic moment on the atom in μB.
Atoms (fractional coordinates):
Y 0.0000 0.0000 0.0000  0.16
Er 0.0000 0.5000 0.5000  0.21
Sc 0.5000 0.5000 0.0000  0.28
In 0.5000 0.0000 0.5000  -0.02



Record 2
# EuTmPt2

Crystalline EuTmPt2 at its relaxed geometry (GGA-PBE, Alexandria).

Summary:
Magnetic moment = 7.0 μB/f.u.
Calculated formation energy = -1.127 eV/atom

abc: 3.4845 3.4845 7.1892
angles: 90.00 90.00 90.00
Last column: magnetic moment on the atom in μB.
Atoms (fractional coordinates):
Eu 0.5000 0.5000 0.5000  6.80
Tm 0.5000 0.5000 0.0000  0.04
Pt 0.0000 0.0000 0.7799  -0.01
Pt 0.0000 0.0000 0.2201  -0.01



Record 3
# BaZr2H

Crystalline BaZr2H at its relaxed geometry (GGA-PBE, Alexandria).

Summary:
Magnetic moment = 0.0 μB/f.u.
Calculated total energy = -4.210 eV per atom

abc: 4.9754 4.9754 4.9754
angles: 60.00 60.00 60.00
Atoms (fractional coordinates):
H 0.0000 0.0000 0.0000
Ba 0.5000 0.5000 0.5000
Zr 0.2500 0.2500 0.2500
Zr 0.7500 0.7500 0.7500